No. 1
VASP calculation (PBE) on an optimized crystal structure of Ba6SbS2Br3.

a b c (Å): 8.1639 8.1639 8.3029
angles (deg): 99.48 99.48 119.94
Positions (direct):
1 Ba 0.0764 0.4248 0.7750
2 Ba 0.2270 0.2270 0.2249
3 Ba 0.4248 0.0764 0.7750
4 Ba 0.5752 0.9236 0.2250
5 Ba 0.7730 0.7730 0.7751
6 Ba 0.9236 0.5752 0.2250
7 Sb 0.5000 0.5000 0.0000
8 S 0.1668 0.8332 0.0000
9 S 0.8332 0.1668 0.0000
10 Br 0.0000 0.0000 0.5000
11 Br 0.3379 0.6621 0.5000
12 Br 0.6621 0.3379 0.5000

Values from the calculation:
Volume, Å³ per cell: 452.8
Total energy, eV/cell: -49.9
SG: C2/m, No. 12



No. 2
VASP calculation (PBE) on an optimized crystal structure of BeBiPt3.

a b c (Å): 5.8391 5.8391 8.8143
angles (deg): 94.66 94.66 33.97
Positions (direct):
1 Be 0.1013 0.1013 0.0483
2 Be 0.8987 0.8987 0.9517
3 Bi 0.3604 0.3604 0.4106
4 Bi 0.6396 0.6396 0.5894
5 Pt 0.1144 0.1144 0.3262
6 Pt 0.2661 0.2661 0.8733
7 Pt 0.4573 0.4573 0.1381
8 Pt 0.5427 0.5427 0.8619
9 Pt 0.7339 0.7339 0.1267
10 Pt 0.8856 0.8856 0.6738

Values from the calculation:
Offset from the most stable computed form, eV per atom: 0.122
Volume, Å³ per cell: 167.3
Calculated formation energy, meV per atom: -310
Total energy, eV/cell: -54.6
SG: C2/m, No. 12



No. 3
VASP calculation (PBE) on an optimized crystal structure of KCa2Mn.

a b c (Å): 6.6314 6.6314 6.6314
angles (deg): 134.16 134.16 66.83
Positions (direct):
1 K 0.0000 0.0000 0.0000
2 Ca 0.5000 0.5000 0.0000
3 Ca 0.7500 0.2500 0.5000
4 Mn 0.2500 0.7500 0.5000

Values from the calculation:
Offset from the most stable computed form, eV per atom: 0.256
Volume, Å³ per cell: 147.7
Calculated formation energy, meV per atom: 591
Total energy, eV/cell: -11.9
SG: I-4m2, No. 119



No. 4
VASP calculation (PBE) on an optimized crystal structure of Y2SbRu.

a b c (Å): 4.9721 4.9721 4.9721
angles (deg): 60.00 60.00 60.00
Positions (direct):
1 Y 0.0000 0.0000 0.0000
2 Y 0.2500 0.2500 0.2500
3 Sb 0.5000 0.5000 0.5000
4 Ru 0.7500 0.7500 0.7500

Values from the calculation:
Volume, Å³ per cell: 86.9
Total energy, eV/cell: -27.3
SG: F-43m, No. 216



No. 5
VASP calculation (PBE) on an optimized crystal structure of SrSiB2.

a b c (Å): 7.3006 7.3006 7.3006
angles (deg): 144.46 144.46 51.14
Positions (direct):
1 Sr 0.3750 0.6250 0.7500
2 Sr 0.6250 0.3750 0.2500
3 Si 0.1250 0.8750 0.2500
4 Si 0.8750 0.1250 0.7500
5 B 0.0000 0.0000 0.0000
6 B 0.0000 0.0000 0.5000
7 B 0.0000 0.5000 0.0000
8 B 0.5000 0.0000 0.5000

Values from the calculation:
Volume, Å³ per cell: 130.8
Total energy, eV/cell: -39.1
SG: I4_1/amd, No. 141



No. 6
VASP calculation (PBE) on an optimized crystal structure of BaNi2Sn2.

a b c (Å): 8.1802 8.1802 3.3435
angles (deg): 90.00 90.00 90.00
Positions (direct):
1 Ba 0.0000 0.0000 0.0000
2 Ba 0.5000 0.5000 0.0000
3 Ni 0.1131 0.3869 0.0000
4 Ni 0.3869 0.8869 0.0000
5 Ni 0.6131 0.1131 0.0000
6 Ni 0.8869 0.6131 0.0000
7 Sn 0.1454 0.6454 0.5000
8 Sn 0.3546 0.1454 0.5000
9 Sn 0.6454 0.8546 0.5000
10 Sn 0.8546 0.3546 0.5000

Values from the calculation:
Volume, Å³ per cell: 223.7
Calculated formation energy, meV per atom: -58
Total energy, eV/cell: -43.6
SG: P4/mbm, No. 127



No. 7
VASP calculation (PBE) on an optimized crystal structure of Cs2SmNpO6.

a b c (Å): 6.2976 6.2976 6.2976
angles (deg): 60.00 60.00 60.00
Positions (direct):
1 Cs 0.2500 0.2500 0.2500
2 Cs 0.7500 0.7500 0.7500
3 Sm 0.0000 0.0000 0.0000
4 Np 0.5000 0.5000 0.5000
5 O 0.2694 0.2694 0.7306
6 O 0.2694 0.7306 0.2694
7 O 0.2694 0.7306 0.7306
8 O 0.7306 0.2694 0.2694
9 O 0.7306 0.2694 0.7306
10 O 0.7306 0.7306 0.2694

Values from the calculation:
Volume, Å³ per cell: 176.6
Total energy, eV/cell: -74.9
SG: Fm-3m, No. 225



No. 8
VASP calculation (PBE) on an optimized crystal structure of SrMo2P.

a b c (Å): 4.9576 4.9576 5.5719
angles (deg): 102.73 102.73 39.06
Positions (direct):
1 Sr 0.0000 0.0000 0.0000
2 Mo 0.2135 0.2135 0.6359
3 Mo 0.7865 0.7865 0.3641
4 P 0.5000 0.5000 0.5000

Values from the calculation:
Volume, Å³ per cell: 83.9
Calculated formation energy, meV per atom: 271
Total energy, eV/cell: -27.7
SG: C2/m, No. 12



No. 9
VASP calculation (PBE) on an optimized crystal structure of BaP2Pb.

a b c (Å): 4.3963 4.7040 5.8246
angles (deg): 90.00 105.34 90.00
Positions (direct):
1 Ba 0.0000 0.0000 0.0000
2 P 0.6200 0.5000 0.2347
3 P 0.6371 0.0000 0.4046
4 Pb 0.2327 0.5000 0.5376

Values from the calculation:
Volume, Å³ per cell: 116.2
Calculated formation energy, meV per atom: -319
Total energy, eV/cell: -17.7
SG: Pm, No. 6



No. 10
VASP calculation (PBE) on an optimized crystal structure of Sr2CuS2F.

a b c (Å): 4.4050 4.4050 14.0807
angles (deg): 90.00 90.00 90.00
Positions (direct):
1 Sr 0.0000 0.0000 0.1647
2 Sr 0.0000 0.0000 0.8353
3 Cu 0.0000 0.0000 0.5000
4 S 0.0000 0.0000 0.3529
5 S 0.0000 0.0000 0.6471
6 F 0.0000 0.0000 0.0000

Values from the calculation:
Volume, Å³ per cell: 273.2
Total energy, eV/cell: -22.4
SG: P4/mmm, No. 123



No. 11
VASP calculation (PBE) on an optimized crystal structure of CdNiIr3.

a b c (Å): 4.8410 4.8410 4.8410
angles (deg): 90.00 90.00 90.00
Positions (direct):
1 Cd 0.0000 0.0000 0.0000
2 Ni 0.5000 0.5000 0.5000
3 Ir 0.0000 0.0000 0.5000
4 Ir 0.0000 0.5000 0.0000
5 Ir 0.5000 0.0000 0.0000

Values from the calculation:
Offset from the most stable computed form, eV per atom: 1.335
Volume, Å³ per cell: 113.5
Calculated formation energy, meV per atom: 2643
Total energy, eV/cell: -20.1
SG: Pm-3m, No. 221



No. 12
VASP calculation (PBE) on an optimized crystal structure of LaCuSe2O8.

a b c (Å): 5.5176 5.5176 6.9473
angles (deg): 90.00 90.00 120.00
Positions (direct):
1 La 0.0000 0.0000 0.0000
2 Cu 0.0000 0.0000 0.5000
3 Se 0.3333 0.6667 0.2181
4 Se 0.6667 0.3333 0.7819
5 O 0.1634 0.3269 0.2897
6 O 0.1634 0.8366 0.2897
7 O 0.3269 0.1634 0.7103
8 O 0.3333 0.6667 0.9750
9 O 0.6667 0.3333 0.0250
10 O 0.6731 0.8366 0.2897
11 O 0.8366 0.1634 0.7103
12 O 0.8366 0.6731 0.7103

Values from the calculation:
Volume, Å³ per cell: 183.2
Total energy, eV/cell: -70.1
SG: P-3m1, No. 164



No. 13
VASP calculation (PBE) on an optimized crystal structure of GePtS.

a b c (Å): 2.7703 3.5987 11.9590
angles (deg): 90.11 91.26 90.00
Positions (direct):
1 Ge 0.2358 0.2486 0.3147
2 Ge 0.7642 0.7514 0.6853
3 Pt 0.2544 0.2508 0.5848
4 Pt 0.7456 0.7492 0.4152
5 S 0.2169 0.2477 0.1324
6 S 0.7831 0.7523 0.8676

Values from the calculation:
Volume, Å³ per cell: 119.2
Total energy, eV/cell: -30.1
SG: P-1, No. 2



No. 14
VASP calculation (PBE) on an optimized crystal structure of Si2AsIr.

a b c (Å): 4.4612 3.0087 4.6686
angles (deg): 90.00 105.39 90.00
Positions (direct):
1 Si 0.0000 0.0000 0.0000
2 Si 0.0000 0.5000 0.5000
3 As 0.5000 0.0000 0.5000
4 Ir 0.5000 0.5000 0.0000

Values from the calculation:
Volume, Å³ per cell: 60.4
Total energy, eV/cell: -23.2
SG: P2/m, No. 10



No. 15
VASP calculation (PBE) on an optimized crystal structure of CdSi2Hg.

a b c (Å): 2.8795 2.8795 10.5780
angles (deg): 90.00 90.00 103.22
Positions (direct):
1 Cd 0.0000 0.0000 0.0000
2 Si 0.0000 0.0000 0.5748
3 Si 0.5000 0.5000 0.7430
4 Hg 0.5000 0.5000 0.2960

Values from the calculation:
Offset from the most stable computed form, eV per atom: 0.187
Volume, Å³ per cell: 85.4
Total energy, eV/cell: -10.5
SG: Cmm2, No. 35



No. 16
VASP calculation (PBE) on an optimized crystal structure of Pm4PrTl.

a b c (Å): 3.6940 3.6940 14.6030
angles (deg): 90.00 90.00 90.00
Positions (direct):
1 Pm 0.0000 0.0000 0.1460
2 Pm 0.0000 0.0000 0.8540
3 Pm 0.5000 0.5000 0.3212
4 Pm 0.5000 0.5000 0.6788
5 Pr 0.0000 0.0000 0.5000
6 Tl 0.5000 0.5000 0.0000

Values from the calculation:
Offset from the most stable computed form, eV per atom: 0.000
Volume, Å³ per cell: 199.3
Calculated formation energy, meV per atom: -106
Total energy, eV/cell: -26.8
SG: P4/mmm, No. 123



No. 17
VASP calculation (PBE) on an optimized crystal structure of TcGe2H2.

a b c (Å): 6.4712 6.4712 6.4712
angles (deg): 153.21 153.21 38.24
Positions (direct):
1 Tc 0.0000 0.0000 0.0000
2 Ge 0.3713 0.3713 0.0000
3 Ge 0.6287 0.6287 0.0000
4 H 0.2500 0.7500 0.5000
5 H 0.7500 0.2500 0.5000

Values from the calculation:
Volume, Å³ per cell: 54.9
Total energy, eV/cell: -24.1
SG: I4/mmm, No. 139



No. 18
VASP calculation (PBE) on an optimized crystal structure of Cu2Pt5.

a b c (Å): 6.6054 6.6054 7.1100
angles (deg): 91.89 91.89 41.97
Positions (direct):
1 Cu 0.0946 0.7672 0.8926
2 Cu 0.2328 0.9054 0.6074
3 Cu 0.7672 0.0946 0.3926
4 Cu 0.9054 0.2328 0.1074
5 Pt 0.0483 0.3779 0.8200
6 Pt 0.1939 0.5305 0.5353
7 Pt 0.3358 0.6642 0.2500
8 Pt 0.3779 0.0483 0.3200
9 Pt 0.4695 0.8061 0.9647
10 Pt 0.5305 0.1939 0.0353
11 Pt 0.6221 0.9517 0.6800
12 Pt 0.6642 0.3358 0.7500
13 Pt 0.8061 0.4695 0.4647
14 Pt 0.9517 0.6221 0.1800

Values from the calculation:
Volume, Å³ per cell: 207.3
Calculated formation energy, meV per atom: -70
Total energy, eV/cell: -77.8
SG: C2/c, No. 15



No. 19
VASP calculation (PBE) on an optimized crystal structure of Tb3Yb.

a b c (Å): 6.1984 6.1984 6.1984
angles (deg): 131.95 131.95 70.30
Positions (direct):
1 Tb 0.0000 0.0000 0.0000
2 Tb 0.2500 0.7500 0.5000
3 Tb 0.7500 0.2500 0.5000
4 Yb 0.5000 0.5000 0.0000

Values from the calculation:
Volume, Å³ per cell: 129.1
Calculated formation energy, meV per atom: 12
Total energy, eV/cell: -15.4
SG: I4/mmm, No. 139



No. 20
VASP calculation (PBE) on an optimized crystal structure of KCd3Bi3.

a b c (Å): 8.2976 8.2976 8.2976
angles (deg): 90.00 90.00 90.00
Positions (direct):
1 K 0.0000 0.0000 0.0000
2 K 0.5000 0.5000 0.5000
3 Cd 0.0000 0.2500 0.5000
4 Cd 0.0000 0.7500 0.5000
5 Cd 0.2500 0.5000 0.0000
6 Cd 0.5000 0.0000 0.2500
7 Cd 0.5000 0.0000 0.7500
8 Cd 0.7500 0.5000 0.0000
9 Bi 0.0000 0.5000 0.2500
10 Bi 0.0000 0.5000 0.7500
11 Bi 0.2500 0.0000 0.5000
12 Bi 0.5000 0.2500 0.0000
13 Bi 0.5000 0.7500 0.0000
14 Bi 0.7500 0.0000 0.5000

Values from the calculation:
Offset from the most stable computed form, eV per atom: 0.045
Volume, Å³ per cell: 571.3
Calculated formation energy, meV per atom: -9
Total energy, eV/cell: -31.1
SG: Pm-3n, No. 223